No. 1
Pm2Sm15Sc2 (GGA-PBE, relaxed); E = -4.625 eV per atom
1.0
-8.4549 1.2753 2.0238
-0.2541 -3.5012 8.0551
0.6166 7.2600 4.9112
Pm Sm Sc
2 15 2
direct
0.6820 0.6820 0.6820 Pm
0.3180 0.3180 0.3180 Pm
0.1497 0.6293 0.6293 Sm
0.8503 0.3707 0.3707 Sm
0.2916 0.7084 0.0000 Sm
0.3707 0.8503 0.3707 Sm
0.2916 0.0000 0.7084 Sm
0.3707 0.3707 0.8503 Sm
0.5000 0.0000 0.0000 Sm
0.0000 0.5000 0.0000 Sm
0.6293 0.6293 0.1497 Sm
0.0000 0.0000 0.5000 Sm
0.7084 0.0000 0.2916 Sm
0.7084 0.2916 0.0000 Sm
0.6293 0.1497 0.6293 Sm
0.0000 0.7084 0.2916 Sm
0.0000 0.2916 0.7084 Sm
0.0902 0.0902 0.0902 Sc
0.9098 0.9098 0.9098 Sc


No. 2
Pm2Sm3Sc (GGA-PBE, relaxed); E = -4.962 eV per atom; relative energy among the computed polymorphs = 0.0000 eV/atom
1.0
5.7907 0.2719 -2.1564
0.1338 8.2951 -4.5428
-2.7584 -2.1040 10.1663
Pm Sm Sc
4 6 2
direct
0.4643 0.1187 0.9153 Pm
0.5357 0.8813 0.0847 Pm
0.7866 0.1228 0.5824 Pm
0.2134 0.8772 0.4176 Pm
0.9596 0.6349 0.9200 Sm
0.2900 0.6235 0.5816 Sm
0.0404 0.3651 0.0800 Sm
0.7100 0.3765 0.4184 Sm
0.6271 0.6248 0.2526 Sm
0.3729 0.3752 0.7474 Sm
0.8777 0.8754 0.7539 Sc
0.1223 0.1246 0.2461 Sc


No. 3
Pm2Sm2Sc3 (GGA-PBE, relaxed); E = -5.216 eV per atom
1.0
6.1680 0.0000 -1.1828
0.0000 11.0270 0.0000
1.5899 0.0000 5.9209
Pm Sm Sc
4 4 6
direct
0.2293 0.2778 0.0976 Pm
0.7293 0.2222 0.0976 Pm
0.7707 0.7222 0.9024 Pm
0.2707 0.7778 0.9024 Pm
0.0427 0.1540 0.5534 Sm
0.9573 0.8460 0.4466 Sm
0.4573 0.6540 0.4466 Sm
0.5427 0.3460 0.5534 Sm
0.0498 0.4698 0.7438 Sc
0.4502 0.9698 0.2562 Sc
0.0000 0.0000 0.0000 Sc
0.5498 0.0302 0.7438 Sc
0.5000 0.5000 0.0000 Sc
0.9502 0.5302 0.2562 Sc


No. 4
Pm7Sm12Sc (GGA-PBE, relaxed); E = -4.572 eV per atom; relative energy among the computed polymorphs = 0.0000 eV/atom
1.0
-6.6507 4.5755 -3.5352
-2.8715 1.4487 8.2049
5.2562 7.0711 0.1912
Sm Pm Sc
12 7 1
direct
0.5527 0.1599 0.4522 Sm
0.1425 0.7411 0.2887 Sm
0.2589 0.7113 0.8575 Sm
0.8401 0.5478 0.4473 Sm
0.4473 0.8401 0.5478 Sm
0.5478 0.4473 0.8401 Sm
0.7411 0.2887 0.1425 Sm
0.4522 0.5527 0.1599 Sm
0.1599 0.4522 0.5527 Sm
0.2887 0.1425 0.7411 Sm
0.7113 0.8575 0.2589 Sm
0.8575 0.2589 0.7113 Sm
0.6341 0.9487 0.8837 Pm
0.3659 0.0513 0.1163 Pm
0.9487 0.8837 0.6341 Pm
0.8837 0.6341 0.9487 Pm
0.5000 0.5000 0.5000 Pm
0.0513 0.1163 0.3659 Pm
0.1163 0.3659 0.0513 Pm
0.0000 0.0000 0.0000 Sc


No. 5
Pm3SmSc7 (GGA-PBE, relaxed); E = -5.462 eV per atom
1.0
-2.3116 -0.4321 4.9751
1.1903 -7.3188 -3.1189
8.0139 -0.1971 0.6701
Sc Pm Sm
7 3 1
direct
0.2799 0.9687 0.5911 Sc
0.7201 0.0313 0.4089 Sc
0.0000 0.5000 0.5000 Sc
0.2799 0.5911 0.9687 Sc
0.2067 0.2071 0.2071 Sc
0.7933 0.7929 0.7929 Sc
0.7201 0.4089 0.0313 Sc
0.0000 0.2144 0.7856 Pm
0.0000 0.7856 0.2144 Pm
0.5000 0.0000 0.0000 Pm
0.5000 0.5000 0.5000 Sm


No. 6
Pm2SmSc4 (GGA-PBE, relaxed); E = -5.456 eV per atom
1.0
8.3893 0.0066 1.4824
-0.6021 8.3703 -1.4749
-2.7490 -5.2583 6.1154
Pm Sc Sm
4 8 2
direct
0.6091 0.4816 0.8987 Pm
0.6405 0.0399 0.3722 Pm
0.1247 0.3906 0.7660 Pm
0.6257 0.3881 0.2625 Pm
0.8738 0.6218 0.7443 Sc
0.9865 0.7821 0.2964 Sc
0.8751 0.0490 0.1742 Sc
0.3764 0.6208 0.2480 Sc
0.4815 0.7293 0.7473 Sc
0.2627 0.0589 0.2955 Sc
0.3748 0.0492 0.6740 Sc
0.7686 0.0172 0.7490 Sc
0.1670 0.0398 0.8988 Sm
0.0836 0.4817 0.3730 Sm


no.,ΔE_f (meV per atom)
1,267
2,36
3,203
4,239
5,292
6,193